Version A
This record from Alexandria via LeMat-Bulk describes a relaxed Ca2AsAu2 crystal. The functional is GGA-PBE.

Fermi-level density of states = 0.3815 states/eV per atom
Total magnetization = 0.0 μB per cell

Unit cell a=5.7146 b=5.7146 c=8.1286 alpha=90.00 beta=90.00 gamma=90.00
Closest atoms and distances in Å follow each position.
Space group I4/mmm (No. 139)
Inequivalent atoms, fractional coordinates:
Ca (0.0000, 0.5000, 0.2500) (multiplicity 4)  4 Au 2.95
As (0.0000, 0.0000, 0.0000) (multiplicity 2)  2 Au 2.75
Au (0.0000, 0.0000, 0.3385) (multiplicity 4)  1 Au 2.63, 1 As 2.75

=====

Version B
This record from Alexandria via LeMat-Bulk describes a relaxed Ca2AsAu2 crystal. The functional is GGA-PBE.

Fermi-level density of states = 0.3720 states/eV per atom
Total magnetization = 0.0 μB per cell

Unit cell a=7.4774 b=7.4774 c=4.2606 alpha=90.00 beta=90.00 gamma=90.00
Closest atoms and distances in Å follow each position.
Space group P4/mbm (No. 127)
Inequivalent atoms, fractional coordinates:
Ca (0.1777, 0.3223, 0.0000) (multiplicity 4)  6 Au 2.95-3.16
As (0.0000, 0.0000, 0.5000) (multiplicity 2)  4 Au 2.93
Au (0.1299, 0.6299, 0.5000) (multiplicity 4)  1 Au 2.75, 2 As 2.93, 2 Ca 2.95

=====

Most stable = version B

=====

Version A
This record from Alexandria via LeMat-Bulk describes a relaxed CaAsAuSe2 crystal. The functional is GGA-PBE.

Fermi-level density of states = 0.6528 states/eV per atom
Total magnetization = 0.4 μB per cell

Unit cell a=5.2980 b=5.2980 c=4.8333 alpha=90.00 beta=90.00 gamma=90.00
Closest atoms and distances in Å follow each position.
Space group P4/mmm (No. 123)
Inequivalent atoms, fractional coordinates:
Ca (0.0000, 0.0000, 0.0000) (multiplicity 1)  8 Se 3.59, 4 As 3.75
As (0.5000, 0.5000, 0.0000) (multiplicity 1)  2 Au 2.42
Au (0.5000, 0.5000, 0.5000) (multiplicity 1)  2 As 2.42, 4 Se 2.65
Se (0.0000, 0.5000, 0.5000) (multiplicity 2)  2 Au 2.65

=====

Version B
This record from Alexandria via LeMat-Bulk describes a relaxed CaAsAuSe2 crystal. The functional is GGA-PBE.

Fermi-level density of states = 1.2543 states/eV per atom
Total magnetization = 0.0 μB per cell

Unit cell a=5.3442 b=5.3442 c=5.4400 alpha=90.00 beta=90.00 gamma=90.00
Closest atoms and distances in Å follow each position.
Space group P4/mmm (No. 123)
Inequivalent atoms, fractional coordinates:
Ca (0.0000, 0.0000, 0.0000) (multiplicity 1)  4 Se 2.67, 2 As 2.72
As (0.0000, 0.0000, 0.5000) (multiplicity 1)  2 Ca 2.72
Au (0.5000, 0.5000, 0.5000) (multiplicity 1)  4 As 3.78, 8 Se 3.81
Se (0.0000, 0.5000, 0.0000) (multiplicity 2)  2 Ca 2.67

=====

Most stable = version A